Here is crystalline BaFe12O19 at its relaxed geometry from Alexandria via LeMat-Bulk. Energies are from PBE+U.

Calculated values
total energy	-6.6523	eV/atom
volume	735	Å³/cell

Lattice parameters (Å, degrees): 6.014 6.014 23.478 90.00 90.00 120.00
Positions (direct):
Ba1 0.333 0.667 0.250
Ba2 0.667 0.333 0.750
Fe1 0.000 0.000 0.000
Fe2 0.000 0.000 0.250
Fe3 0.000 0.000 0.500
Fe4 0.000 0.000 0.750
Fe5 0.168 0.336 0.108
Fe6 0.168 0.336 0.392
Fe7 0.168 0.832 0.108
Fe8 0.168 0.832 0.392
Fe9 0.333 0.667 0.528
Fe10 0.333 0.667 0.690
Fe11 0.333 0.667 0.810
Fe12 0.333 0.667 0.972
Fe13 0.336 0.168 0.608
Fe14 0.336 0.168 0.892
Fe15 0.664 0.832 0.108
Fe16 0.664 0.832 0.392
Fe17 0.667 0.333 0.028
Fe18 0.667 0.333 0.190
Fe19 0.667 0.333 0.310
Fe20 0.667 0.333 0.472
Fe21 0.832 0.168 0.608
Fe22 0.832 0.168 0.892
Fe23 0.832 0.664 0.608
Fe24 0.832 0.664 0.892
O1 0.000 0.000 0.151
O2 0.000 0.000 0.349
O3 0.000 0.000 0.651
O4 0.000 0.000 0.849
O5 0.007 0.504 0.149
O6 0.007 0.504 0.351
O7 0.155 0.310 0.553
O8 0.155 0.310 0.947
O9 0.155 0.845 0.553
O10 0.155 0.845 0.947
O11 0.183 0.366 0.750
O12 0.183 0.817 0.750
O13 0.310 0.155 0.053
O14 0.310 0.155 0.447
O15 0.333 0.667 0.055
O16 0.333 0.667 0.445
O17 0.366 0.183 0.250
O18 0.496 0.504 0.149
O19 0.496 0.504 0.351
O20 0.496 0.993 0.149
O21 0.496 0.993 0.351
O22 0.504 0.007 0.649
O23 0.504 0.007 0.851
O24 0.504 0.496 0.649
O25 0.504 0.496 0.851
O26 0.634 0.817 0.750
O27 0.667 0.333 0.555
O28 0.667 0.333 0.945
O29 0.690 0.845 0.553
O30 0.690 0.845 0.947
O31 0.817 0.183 0.250
O32 0.817 0.634 0.250
O33 0.845 0.155 0.053
O34 0.845 0.155 0.447
O35 0.845 0.690 0.053
O36 0.845 0.690 0.447
O37 0.993 0.496 0.649
O38 0.993 0.496 0.851